Entry 1:
# NaAsPd | the Alexandria database | GGA-PBE | relaxed
# DFT total energy: -0.1488 Ha/atom
# Space group: P-6m2, No. 187
data_NaAsPd
_cell_length_a 4.463
_cell_length_b 4.463
_cell_length_c 3.153
_cell_angle_alpha 90.00
_cell_angle_beta 90.00
_cell_angle_gamma 120.00
_space_group_name_H-M_alt 'P 1'
_space_group_IT_number 1
loop_
_space_group_symop_operation_xyz
'x,y,z'
loop_
_atom_site_label
_atom_site_type_symbol
_atom_site_fract_x
_atom_site_fract_y
_atom_site_fract_z
Na1 Na 0.000 0.000 0.000
As1 As 0.667 0.333 0.500
Pd1 Pd 0.333 0.667 0.500

---

Entry 2:
# Hf3AlO | the Alexandria database | GGA-PBE | relaxed
# DFT total energy: -0.3242 Ha/atom
# Space group: C2/m, No. 12
data_Hf3AlO
_cell_length_a 5.703
_cell_length_b 5.703
_cell_length_c 8.786
_cell_angle_alpha 112.22
_cell_angle_beta 112.22
_cell_angle_gamma 42.72
_space_group_name_H-M_alt 'P 1'
_space_group_IT_number 1
loop_
_space_group_symop_operation_xyz
'x,y,z'
loop_
_atom_site_label
_atom_site_type_symbol
_atom_site_fract_x
_atom_site_fract_y
_atom_site_fract_z
Hf1 Hf 0.131 0.131 0.447
Hf2 Hf 0.134 0.134 0.937
Hf3 Hf 0.356 0.356 0.800
Hf4 Hf 0.644 0.644 0.200
Hf5 Hf 0.866 0.866 0.063
Hf6 Hf 0.869 0.869 0.553
Al1 Al 0.384 0.384 0.315
Al2 Al 0.616 0.616 0.685
O1 O 0.087 0.087 0.173
O2 O 0.913 0.913 0.827

---

Entry 3:
# NbIrPt | the Alexandria database | GGA-PBE | relaxed
# DFT total energy: -0.3180 Ha/atom
# E above lowest polymorph: 4.74 kcal/mol of atoms
# Space group: P-6m2, No. 187
data_NbIrPt
_cell_length_a 4.475
_cell_length_b 4.475
_cell_length_c 2.793
_cell_angle_alpha 90.00
_cell_angle_beta 90.00
_cell_angle_gamma 120.00
_space_group_name_H-M_alt 'P 1'
_space_group_IT_number 1
loop_
_space_group_symop_operation_xyz
'x,y,z'
loop_
_atom_site_label
_atom_site_type_symbol
_atom_site_fract_x
_atom_site_fract_y
_atom_site_fract_z
Nb1 Nb 0.000 0.000 0.000
Ir1 Ir 0.667 0.333 0.500
Pt1 Pt 0.333 0.667 0.500

---

Entry 4:
# NiAg2Os | the Alexandria database | GGA-PBE | relaxed
# DFT total energy: -0.1870 Ha/atom
# E above lowest polymorph: 6.35 kcal/mol of atoms
# Space group: Imm2, No. 44
data_NiAg2Os
_cell_length_a 2.702
_cell_length_b 4.807
_cell_length_c 9.618
_cell_angle_alpha 90.00
_cell_angle_beta 90.00
_cell_angle_gamma 90.00
_space_group_name_H-M_alt 'P 1'
_space_group_IT_number 1
loop_
_space_group_symop_operation_xyz
'x,y,z'
loop_
_atom_site_label
_atom_site_type_symbol
_atom_site_fract_x
_atom_site_fract_y
_atom_site_fract_z
Ni1 Ni 0.000 0.000 0.000
Ni2 Ni 0.500 0.500 0.500
Ag1 Ag 0.000 0.000 0.478
Ag2 Ag 0.000 0.500 0.254
Ag3 Ag 0.500 0.000 0.754
Ag4 Ag 0.500 0.500 0.978
Os1 Os 0.000 0.500 0.710
Os2 Os 0.500 0.000 0.210

---

no.,volume (Å³/cell),Fermi-level density of states (states/eV per cell)
1,54.4,1.7
2,177.1,7.9
3,48.4,4.3
4,124.9,6.1